Entry 1:
The following is a DFT calculation (GGA-PBEsol) of a relaxed CsBeAs crystal.

Properties
space group	C2/m
energy of formation	-0.419	eV/atom

a = 7.1977 Å, b = 7.1977 Å, c = 6.5731 Å
α = 106.19°, β = 106.19°, γ = 31.08°
Closest atoms and distances in Å follow each position.
Fractional positions:
Cs: 0.0912 0.0912 0.3110  1 Be 3.46, 4 As 3.63-3.68, 2 Cs 3.86
Cs: 0.9088 0.9088 0.6890  1 Be 3.46, 4 As 3.63-3.68, 2 Cs 3.86
Be: 0.2157 0.2157 0.9244  3 As 2.22-2.25, 2 Be 2.25
Be: 0.7843 0.7843 0.0756  3 As 2.22-2.25, 2 Be 2.25
As: 0.3594 0.3594 0.1925  3 Be 2.22-2.25
As: 0.6406 0.6406 0.8075  3 Be 2.22-2.25

Entry 2:
The following is a DFT calculation (GGA-PBEsol) of a relaxed Zn2AgHg crystal.

Properties
space group	Imm2
energy of formation	0.039	eV/atom

a = 5.0443 Å, b = 5.0443 Å, c = 5.0443 Å
α = 135.92°, β = 131.50°, γ = 67.60°
Closest atoms and distances in Å follow each position.
Fractional positions:
Zn: 0.0000 0.0000 0.0000  4 Zn 2.78-2.98, 4 Ag 2.80-2.97, 4 Hg 2.81
Zn: 0.7563 0.2563 0.5000  4 Zn 2.78-2.98, 4 Ag 2.81, 4 Hg 2.85-2.92
Ag: 0.2467 0.7467 0.5000  8 Zn 2.80-2.97, 4 Hg 2.86-2.91
Hg: 0.5024 0.5024 0.0000  8 Zn 2.81-2.92, 4 Ag 2.86-2.91

Entry 3:
The following is a DFT calculation (GGA-PBEsol) of a relaxed K2AlFe crystal.

Properties
space group	P4/mmm
energy of formation	0.974	eV/atom

a = 4.2209 Å, b = 4.2209 Å, c = 5.6978 Å
α = 90.00°, β = 90.00°, γ = 90.00°
Closest atoms and distances in Å follow each position.
Fractional positions:
K: 0.0000 0.5000 0.0000  4 K 2.98
K: 0.5000 0.0000 0.0000  4 K 2.98
Al: 0.0000 0.0000 0.5000  4 Fe 2.98
Fe: 0.5000 0.5000 0.5000  4 Al 2.98

Entry 4:
The following is a DFT calculation (GGA-PBEsol) of a relaxed TlC2 crystal.

Properties
offset from the most stable computed form	1565	meV/atom
space group	P4/mmm
energy of formation	2.418	eV/atom

a = 2.6278 Å, b = 2.6278 Å, c = 5.3457 Å
α = 90.00°, β = 90.00°, γ = 90.00°
Closest atoms and distances in Å follow each position.
Fractional positions:
Tl: 0.0000 0.0000 0.0000  4 Tl 2.63
C: 0.0000 0.5000 0.5000  4 C 1.86
C: 0.5000 0.0000 0.5000  4 C 1.86

Entry 5:
The following is a DFT calculation (GGA-PBEsol) of a relaxed CrHSe2 crystal.

Properties
offset from the most stable computed form	0	meV/atom
space group	P-1

a = 3.0493 Å, b = 5.6707 Å, c = 8.7497 Å
α = 81.92°, β = 83.20°, γ = 90.00°
Closest atoms and distances in Å follow each position.
Fractional positions:
Cr: 0.2473 0.1883 0.0086  6 Se 2.36-2.48, 2 Cr 2.64-2.65
Cr: 0.7527 0.8117 0.9914  6 Se 2.36-2.48, 2 Cr 2.64-2.65
H: 0.4536 0.5074 0.4608  1 H 0.77
H: 0.5464 0.4926 0.5392  1 H 0.77
Se: 0.1981 0.5373 0.1521  3 Cr 2.47-2.48
Se: 0.3193 0.9677 0.7952  3 Cr 2.36-2.38
Se: 0.6807 0.0323 0.2048  3 Cr 2.36-2.38
Se: 0.8019 0.4627 0.8479  3 Cr 2.47-2.48

Entry 6:
The following is a DFT calculation (GGA-PBEsol) of a relaxed Na6MnCl8 crystal.

Properties
energy relative to the elements, uncorrected	-1.638	eV/atom
space group	Fm-3m

a = 7.8728 Å, b = 7.8728 Å, c = 7.8728 Å
α = 60.00°, β = 60.00°, γ = 60.00°
Closest atoms and distances in Å follow each position.
Fractional positions:
Na: 0.0000 0.0000 0.5000  6 Cl 2.78-2.80
Na: 0.0000 0.5000 0.0000  6 Cl 2.78-2.80
Na: 0.0000 0.5000 0.5000  6 Cl 2.78-2.80
Na: 0.5000 0.0000 0.0000  6 Cl 2.78-2.80
Na: 0.5000 0.0000 0.5000  6 Cl 2.78-2.80
Na: 0.5000 0.5000 0.0000  6 Cl 2.78-2.80
Mn: 0.0000 0.0000 0.0000  6 Cl 2.53
Cl: 0.2269 0.2269 0.7731  1 Mn 2.53, 4 Na 2.80
Cl: 0.2269 0.7731 0.2269  1 Mn 2.53, 4 Na 2.80
Cl: 0.2269 0.7731 0.7731  1 Mn 2.53, 4 Na 2.80
Cl: 0.2500 0.2500 0.2500  6 Na 2.78
Cl: 0.7500 0.7500 0.7500  6 Na 2.78
Cl: 0.7731 0.2269 0.2269  1 Mn 2.53, 4 Na 2.80
Cl: 0.7731 0.2269 0.7731  1 Mn 2.53, 4 Na 2.80
Cl: 0.7731 0.7731 0.2269  1 Mn 2.53, 4 Na 2.80

Entry 7:
The following is a DFT calculation (GGA-PBEsol) of a relaxed Zr4CoRh crystal.

Properties
space group	F-43m
energy of formation	0.606	eV/atom

a = 5.4229 Å, b = 5.4229 Å, c = 5.4229 Å
α = 60.00°, β = 60.00°, γ = 60.00°
Closest atoms and distances in Å follow each position.
Fractional positions:
Zr: 0.1245 0.1245 0.1245  6 Zr 2.70-2.72
Zr: 0.1245 0.1245 0.6264  6 Zr 2.70-2.72
Zr: 0.1245 0.6264 0.1245  6 Zr 2.70-2.72
Zr: 0.6264 0.1245 0.1245  6 Zr 2.70-2.72
Co: 0.5000 0.5000 0.5000  12 Zr 3.18, 4 Rh 3.32
Rh: 0.7500 0.7500 0.7500  12 Zr 3.18, 4 Co 3.32

Entry 8:
The following is a DFT calculation (GGA-PBEsol) of a relaxed TlCd3 crystal.

Properties
space group	Pmmn
energy of formation	0.053	eV/atom

a = 4.7464 Å, b = 6.0362 Å, c = 6.5753 Å
α = 90.00°, β = 90.00°, γ = 90.00°
Closest atoms and distances in Å follow each position.
Fractional positions:
Tl: 0.2500 0.2500 0.0971  10 Cd 3.16-3.36
Tl: 0.7500 0.7500 0.9029  10 Cd 3.16-3.36
Cd: 0.2500 0.5069 0.6443  7 Cd 2.94-3.10, 2 Tl 3.27
Cd: 0.2500 0.7500 0.2383  6 Cd 2.94-3.05, 4 Tl 3.16-3.24
Cd: 0.2500 0.9931 0.6443  7 Cd 2.94-3.10, 2 Tl 3.27
Cd: 0.7500 0.0069 0.3557  7 Cd 2.94-3.10, 2 Tl 3.27
Cd: 0.7500 0.2500 0.7617  6 Cd 2.94-3.05, 4 Tl 3.16-3.24
Cd: 0.7500 0.4931 0.3557  7 Cd 2.94-3.10, 2 Tl 3.27

Entry 9:
The following is a DFT calculation (GGA-PBEsol) of a relaxed CsCuBr2 crystal.

Properties
energy relative to the elements, uncorrected	-0.991	eV/atom
space group	I-42d

a = 6.8295 Å, b = 6.8295 Å, c = 6.8295 Å
α = 110.57°, β = 110.57°, γ = 107.30°
Closest atoms and distances in Å follow each position.
Fractional positions:
Cs: 0.0000 0.0000 0.0000  8 Br 3.57-3.76
Cs: 0.7500 0.2500 0.5000  8 Br 3.57-3.76
Cu: 0.2500 0.7500 0.5000  4 Br 2.44
Cu: 0.5000 0.5000 0.0000  4 Br 2.44
Br: 0.2379 0.1250 0.6129  2 Cu 2.44
Br: 0.3750 0.7621 0.8871  2 Cu 2.44
Br: 0.5121 0.6250 0.3871  2 Cu 2.44
Br: 0.8750 0.4879 0.1129  2 Cu 2.44

Entry 10:
The following is a DFT calculation (GGA-PBEsol) of a relaxed K6CoS4 crystal.

Properties
energy relative to the elements, uncorrected	-0.923	eV/atom
space group	P6_3mc

a = 9.6229 Å, b = 9.6229 Å, c = 7.5619 Å
α = 90.00°, β = 90.00°, γ = 120.00°
Closest atoms and distances in Å follow each position.
Fractional positions:
K: 0.0581 0.5290 0.0000  5 S 3.14-3.29, 1 Co 3.37, 2 K 3.46
K: 0.1463 0.2927 0.6772  4 S 3.07-3.12
K: 0.1463 0.8537 0.6772  4 S 3.07-3.12
K: 0.2927 0.1463 0.1772  4 S 3.07-3.12
K: 0.4710 0.5290 0.0000  5 S 3.14-3.29, 1 Co 3.37, 2 K 3.46
K: 0.4710 0.9419 0.0000  5 S 3.14-3.29, 1 Co 3.37, 2 K 3.46
K: 0.5290 0.0581 0.5000  5 S 3.14-3.29, 1 Co 3.37, 2 K 3.46
K: 0.5290 0.4710 0.5000  5 S 3.14-3.29, 1 Co 3.37, 2 K 3.46
K: 0.7073 0.8537 0.6772  4 S 3.07-3.12
K: 0.8537 0.1463 0.1772  4 S 3.07-3.12
K: 0.8537 0.7073 0.1772  4 S 3.07-3.12
K: 0.9419 0.4710 0.5000  5 S 3.14-3.29, 1 Co 3.37, 2 K 3.46
Co: 0.3333 0.6667 0.3858  4 S 2.31-2.32
Co: 0.6667 0.3333 0.8858  4 S 2.31-2.32
S: 0.2011 0.4021 0.2900  1 Co 2.32
S: 0.2011 0.7989 0.2900  1 Co 2.32
S: 0.3333 0.6667 0.6920  1 Co 2.31
S: 0.4021 0.2011 0.7900  1 Co 2.32
S: 0.5979 0.7989 0.2900  1 Co 2.32
S: 0.6667 0.3333 0.1920  1 Co 2.31
S: 0.7989 0.2011 0.7900  1 Co 2.32
S: 0.7989 0.5979 0.7900  1 Co 2.32

Entry 11:
The following is a DFT calculation (GGA-PBEsol) of a relaxed Zn3Se crystal.

Properties
energy relative to the elements, uncorrected	0.065	eV/atom
space group	I4/mmm

a = 6.0868 Å, b = 6.0868 Å, c = 6.0868 Å
α = 145.62°, β = 145.62°, γ = 49.41°
Closest atoms and distances in Å follow each position.
Fractional positions:
Zn: 0.0000 0.0000 0.0000  4 Se 2.54
Zn: 0.2500 0.7500 0.5000  4 Zn 2.54
Zn: 0.7500 0.2500 0.5000  4 Zn 2.54
Se: 0.5000 0.5000 0.0000  4 Zn 2.54

Entry 12:
The following is a DFT calculation (GGA-PBEsol) of a relaxed KCdOs2 crystal.

Properties
space group	Pmmm
energy of formation	1.253	eV/atom

a = 2.7009 Å, b = 4.9222 Å, c = 5.3261 Å
α = 90.00°, β = 90.00°, γ = 90.00°
Closest atoms and distances in Å follow each position.
Fractional positions:
K: 0.0000 0.0000 0.0000  2 K 2.70, 4 Cd 2.81, 4 Os 2.99
Cd: 0.5000 0.5000 0.0000  2 Cd 2.70, 4 K 2.81, 4 Os 2.99
Os: 0.0000 0.5000 0.5000  6 Os 2.70-2.81, 4 Cd 2.99
Os: 0.5000 0.0000 0.5000  6 Os 2.70-2.81, 4 K 2.99

| no. | V (Å³/cell) |
| --- | --- |
| 1 | 168.3 |
| 2 | 65.7 |
| 3 | 101.5 |
| 4 | 36.9 |
| 5 | 148.7 |
| 6 | 345.0 |
| 7 | 112.8 |
| 8 | 188.4 |
| 9 | 244.9 |
| 10 | 606.4 |
| 11 | 71.6 |
| 12 | 70.8 |